Record 1
BaNi2Ir | GGA-PBE | relaxed

Cell lengths 5.0609, 5.0609, 5.0609 Å; angles 130.70, 111.04, 89.36 degrees
Atoms (fractional coordinates):
Ni 0.4150 0.4150 0.0000
Ni 0.0850 0.0850 0.0000
Ir 0.2500 0.7500 0.5000
Ba 0.7500 0.2500 0.5000

Fermi-level density of states ... 5.16 states/eV/f.u.
Space group ... Immm, No. 71
E_form ... 0.486 eV/atom
Energy above the most stable polymorph in this dataset ... 0.596 eV/atom


Record 2
TcAg2Hg | GGA-PBE | relaxed

Cell lengths 5.8991, 5.8991, 5.8991 Å; angles 152.52, 129.47, 58.47 degrees
Atoms (fractional coordinates):
Ag 0.0083 0.0083 0.0000
Ag 0.4917 0.4917 0.0000
Hg 0.7500 0.2500 0.5000
Tc 0.2500 0.7500 0.5000

Fermi-level density of states ... 2.50 states/eV/f.u.
Space group ... Immm, No. 71
E_form ... 0.512 eV/atom


Record 3
Cs3ZnAu2 | GGA-PBE | relaxed

Cell lengths 4.9190, 15.1386, 14.1045 Å; angles 90.00, 90.00, 90.00 degrees
Atoms (fractional coordinates):
Au 0.2500 0.4634 0.7917
Au 0.7500 0.9634 0.7083
Au 0.7500 0.1785 0.0642
Au 0.2500 0.8215 0.9358
Au 0.2500 0.6785 0.4358
Au 0.2500 0.0366 0.2917
Au 0.7500 0.3215 0.5642
Au 0.7500 0.5366 0.2083
Zn 0.2500 0.1402 0.1318
Zn 0.7500 0.6402 0.3682
Zn 0.2500 0.3598 0.6318
Zn 0.7500 0.8598 0.8682
Cs 0.2500 0.3825 0.0697
Cs 0.2500 0.0517 0.8798
Cs 0.7500 0.2051 0.3175
Cs 0.2500 0.1175 0.5697
Cs 0.7500 0.2949 0.8175
Cs 0.7500 0.5517 0.6202
Cs 0.2500 0.7949 0.6825
Cs 0.2500 0.4483 0.3798
Cs 0.2500 0.7051 0.1825
Cs 0.7500 0.8825 0.4303
Cs 0.7500 0.9483 0.1202
Cs 0.7500 0.6175 0.9303

Fermi-level density of states ... 2.83 states/eV/f.u.
Space group ... Pnma, No. 62
E_form ... -0.226 eV/atom


Record 4
DyTm2Cd2In2 | GGA-PBE | relaxed

Cell lengths 4.9298, 4.9298, 9.2480 Å; angles 74.54, 74.54, 60.00 degrees
Atoms (fractional coordinates):
In 0.2577 0.2577 0.2268
In 0.7423 0.7423 0.7732
Tm 0.1285 0.1285 0.6146
Tm 0.8715 0.8715 0.3854
Cd 0.6030 0.6030 0.1910
Cd 0.3970 0.3970 0.8090
Dy 0.0000 0.0000 0.0000

Fermi-level density of states ... 3.97 states/eV/f.u.
Space group ... R-3m, No. 166
E_form ... -0.225 eV/atom


Record 5
Hf3Pa | GGA-PBE | relaxed

Cell lengths 4.5334, 4.5334, 4.5334 Å; angles 90.00, 90.00, 90.00 degrees
Atoms (fractional coordinates):
Pa 0.0000 0.0000 0.0000
Hf 0.0000 0.5000 0.5000
Hf 0.5000 0.0000 0.5000
Hf 0.5000 0.5000 0.0000

Fermi-level density of states ... 6.04 states/eV/f.u.
Space group ... Pm-3m, No. 221
E_form ... 0.136 eV/atom
Energy above the most stable polymorph in this dataset ... 0.070 eV/atom


Record 6
K3MgNp3S8 | GGA-PBE | relaxed

Cell lengths 7.9713, 7.9722, 8.7517 Å; angles 117.11, 90.00, 120.00 degrees
Atoms (fractional coordinates):
S 0.2298 0.4595 0.6909
S 0.7704 0.0387 0.3091
S 0.7317 0.9613 0.6909
S 0.2683 0.0387 0.3091
S 0.7334 0.4668 0.7000
S 0.7702 0.5405 0.3091
S 0.2296 0.9613 0.6909
S 0.2666 0.5332 0.3000
K 0.5000 0.5000 0.0000
K 0.0000 0.0000 0.0000
K 0.0000 0.5000 0.0000
Np 0.5000 0.5000 0.5000
Np 0.0000 0.5000 0.5000
Np 0.5000 0.0000 0.5000
Mg 0.0000 0.0000 0.5000

Fermi-level density of states ... 29.58 states/eV/f.u.
Space group ... R-3m, No. 166
Formation energy (no corrections) ... -1.3662 eV/atom


Record 7
TeP | GGA-PBE | relaxed

Cell lengths 4.9594, 4.9594, 4.9594 Å; angles 60.00, 60.00, 60.00 degrees
Atoms (fractional coordinates):
Te 0.2500 0.2500 0.2500
Te 0.0000 0.0000 0.0000
P 0.7500 0.7500 0.7500
P 0.5000 0.5000 0.5000

Fermi-level density of states ... 1.53 states/eV/f.u.
Space group ... Fd-3m, No. 227
Formation energy (no corrections) ... 0.7732 eV/atom


Record 8
Sr4InO5 | GGA-PBE | relaxed

Cell lengths 5.2010, 6.3281, 6.3281 Å; angles 80.28, 65.74, 65.74 degrees
Atoms (fractional coordinates):
O 0.1071 0.5970 0.2022
O 0.7041 0.2022 0.4030
O 0.9063 0.4030 0.7978
O 0.4407 0.0000 0.0000
O 0.3093 0.7978 0.5970
Sr 0.8049 0.8043 0.5986
Sr 0.2078 0.1957 0.4014
Sr 0.4035 0.4014 0.8043
Sr 0.6092 0.5986 0.1957
In 0.0176 0.0000 0.0000

Fermi-level density of states ... 1.62 states/eV/f.u.
Space group ... I4, No. 79
Formation energy (no corrections) ... -2.3670 eV/atom


Record 9
SrUBeO5 | GGA-PBE | relaxed

Cell lengths 5.7396, 5.7396, 7.8296 Å; angles 104.12, 104.12, 105.90 degrees
Atoms (fractional coordinates):
Sr 0.6559 0.3441 0.7500
Sr 0.3441 0.6559 0.2500
O 0.2393 0.3832 0.6056
O 0.7010 0.1114 0.3780
O 0.3832 0.2393 0.1056
O 0.9166 0.0834 0.7500
O 0.0834 0.9166 0.2500
O 0.6168 0.7607 0.8944
O 0.8886 0.2990 0.1220
O 0.7607 0.6168 0.3944
O 0.1114 0.7010 0.8780
O 0.2990 0.8886 0.6220
Be 0.3119 0.6881 0.7500
Be 0.6881 0.3119 0.2500
U 0.0000 0.0000 0.0000
U 0.0000 0.0000 0.5000

Fermi-level density of states ... 0.00 states/eV/f.u.
Space group ... C2/c, No. 15
Formation energy (no corrections) ... -2.9795 eV/atom


Record 10
As2Pd6S | GGA-PBE | relaxed

Cell lengths 6.1886, 6.1886, 8.8172 Å; angles 90.00, 90.00, 90.00 degrees
Atoms (fractional coordinates):
Pd 0.7212 0.7212 0.6635
Pd 0.2212 0.7788 0.1635
Pd 0.2212 0.7788 0.8365
Pd 0.7637 0.2363 0.5000
Pd 0.2363 0.7637 0.5000
Pd 0.2788 0.2788 0.3365
Pd 0.7363 0.7363 0.0000
Pd 0.2788 0.2788 0.6635
Pd 0.2637 0.2637 0.0000
Pd 0.7788 0.2212 0.1635
Pd 0.7212 0.7212 0.3365
Pd 0.7788 0.2212 0.8365
As 0.0000 0.0000 0.3452
As 0.5000 0.5000 0.8452
As 0.0000 0.0000 0.6548
As 0.5000 0.5000 0.1548
S 0.0000 0.0000 0.0000
S 0.5000 0.5000 0.5000

Fermi-level density of states ... 5.07 states/eV/f.u.
Space group ... P4_2/mnm, No. 136
Formation energy (no corrections) ... -0.0137 eV/atom


Record 11
LaP2SBr | GGA-PBE | relaxed

Cell lengths 5.9504, 5.9504, 5.3243 Å; angles 90.00, 90.00, 90.00 degrees
Atoms (fractional coordinates):
P 0.0000 0.5000 0.0000
P 0.5000 0.0000 0.0000
Br 0.5000 0.5000 0.5000
S 0.0000 0.0000 0.5000
La 0.0000 0.0000 0.0000

Fermi-level density of states ... 8.54 states/eV/f.u.
Space group ... P4/mmm, No. 123
Formation energy (no corrections) ... 0.5736 eV/atom
Energy above the most stable polymorph in this dataset ... 0.388 eV/atom


Record 12
Sr5Cl | GGA-PBE | relaxed

Cell lengths 7.9195, 7.9195, 7.0870 Å; angles 90.00, 90.00, 120.00 degrees
Atoms (fractional coordinates):
Sr 0.5000 0.0000 0.5000
Sr 0.5000 0.5000 0.5000
Sr 0.0000 0.5000 0.5000
Sr 0.3333 0.6667 0.0000
Sr 0.6667 0.3333 0.0000
Cl 0.0000 0.0000 0.0000

Fermi-level density of states ... 7.29 states/eV/f.u.
Space group ... P6/mmm, No. 191
Formation energy (no corrections) ... 0.0538 eV/atom
Energy above the most stable polymorph in this dataset ... 0.471 eV/atom